Record 1
# AlTeF3

A relaxed structure of AlTeF3 (GGA-PBE, Alexandria via LeMat-Bulk).

The structure belongs to space group Pm-3m (No. 221); the cell edges are 4.143, 4.143 and 4.143 Å and the angles 90.00°, 90.00° and 90.00°. The inequivalent atoms are Al at (0.000, 0.000, 0.000), Te at (0.500, 0.500, 0.500) and F at (0.000, 0.000, 0.500).

The density is 4.941 Mg/m³. As for the distance to the lowest polymorph of the same formula: 0 meV per atom.

***

Record 2
# AlTe2F2

A relaxed structure of AlTe2F2 (GGA-PBE, Alexandria via LeMat-Bulk).

The structure belongs to space group P4/mbm (No. 127); the cell edges are 7.786, 7.786 and 3.089 Å and the angles 90.00°, 90.00° and 90.00°. The inequivalent atoms are Al at (0.000, 0.000, 0.000), Te at (0.133, 0.367, 0.000) and F at (0.183, 0.683, 0.500).

The density is 5.679 Mg/m³. As for the distance to the lowest polymorph of the same formula: 43 meV per atom.

***

Record 3
# AlTeF3

A relaxed structure of AlTeF3 (GGA-PBE, Alexandria via LeMat-Bulk).

The structure belongs to space group Pm-3m (No. 221); the cell edges are 4.699, 4.699 and 4.699 Å and the angles 90.00°, 90.00° and 90.00°. The inequivalent atoms are Al at (0.000, 0.000, 0.000), Te at (0.500, 0.500, 0.500) and F at (0.000, 0.500, 0.500).

The density is 3.386 Mg/m³. As for the distance to the lowest polymorph of the same formula: 680 meV per atom.

***

Record 4
# AlTe2F2

A relaxed structure of AlTe2F2 (GGA-PBE, Alexandria via LeMat-Bulk).

The structure belongs to space group I4/mmm (No. 139); the cell edges are 3.692, 3.692 and 13.295 Å and the angles 90.00°, 90.00° and 90.00°. The inequivalent atoms are Al at (0.000, 0.000, 0.000), Te at (0.000, 0.000, 0.385) and F at (0.000, 0.500, 0.250).

The density is 5.869 Mg/m³. As for the distance to the lowest polymorph of the same formula: 0 meV per atom.

***

Record 5
# AlTlTeF2

A relaxed structure of AlTlTeF2 (GGA-PBE, Alexandria via LeMat-Bulk).

The structure belongs to space group P4/mmm (No. 123); the cell edges are 4.419, 4.419 and 6.744 Å and the angles 90.00°, 90.00° and 90.00°. The inequivalent atoms are Al at (0.000, 0.000, 0.000), Tl at (0.500, 0.500, 0.000), Te at (0.500, 0.500, 0.500) and F at (0.000, 0.500, 0.500).

The density is 5.006 Mg/m³.

***

Record 6
# TiAl3F

A relaxed structure of TiAl3F (GGA-PBE, Alexandria via LeMat-Bulk).

The structure belongs to space group Pm-3m (No. 221); the cell edges are 5.146, 5.146 and 5.146 Å and the angles 90.00°, 90.00° and 90.00°. The inequivalent atoms are Ti at (0.000, 0.000, 0.000), Al at (0.000, 0.000, 0.500) and F at (0.500, 0.500, 0.500).

The density is 1.801 Mg/m³. As for the distance to the lowest polymorph of the same formula: 1031 meV per atom.

***

Record 7
# TiAlF2

A relaxed structure of TiAlF2 (GGA-PBE, Alexandria via LeMat-Bulk).

The structure belongs to space group R-3m (No. 166, hexagonal axes); the cell edges are 3.7665, 3.7665 and 14.3393 Å and the angles 90.00°, 90.00° and 120.00°. The inequivalent atoms are Ti at (0.0000, 0.0000, 0.0000), Al at (0.0000, 0.0000, 0.5000) and F at (0.0000, 0.0000, 0.1413).

The density is 3.191 Mg/m³. As for the distance to the lowest polymorph of the same formula: 515 meV per atom.

***

Record 8
# TiAlF3

A relaxed structure of TiAlF3 (GGA-PBE, Alexandria via LeMat-Bulk).

The structure belongs to space group Pm-3m (No. 221); the cell edges are 4.076, 4.076 and 4.076 Å and the angles 90.00°, 90.00° and 90.00°. The inequivalent atoms are Ti at (0.000, 0.000, 0.000), Al at (0.500, 0.500, 0.500) and F at (0.000, 0.500, 0.500).

The density is 3.233 Mg/m³. As for the distance to the lowest polymorph of the same formula: 463 meV per atom.

***

Record 9
# TiAl2F8

A relaxed structure of TiAl2F8 (GGA-PBE, Alexandria via LeMat-Bulk).

The structure belongs to space group C2/m (No. 12); the cell edges are 7.689, 6.325 and 5.239 Å and the angles 90.00°, 101.81° and 90.00°. The inequivalent atoms are Ti at (0.000, 0.000, 0.000), Al at (0.187, 0.500, 0.458), F at (0.059, 0.500, 0.717), F at (0.142, 0.186, 0.336) and F at (0.209, 0.000, 0.811).

The density is 3.380 Mg/m³.

***

Record 10
# TiAlF2

A relaxed structure of TiAlF2 (GGA-PBE, Alexandria via LeMat-Bulk).

The structure belongs to space group Fm-3m (No. 225); the cell edges are 6.036, 6.036 and 6.036 Å and the angles 90.00°, 90.00° and 90.00°. The inequivalent atoms are Ti at (0.000, 0.000, 0.000), Al at (0.000, 0.000, 0.500) and F at (0.250, 0.250, 0.250).

The density is 3.409 Mg/m³. As for the distance to the lowest polymorph of the same formula: 800 meV per atom.

***

Record 11
# TiAlF3

A relaxed structure of TiAlF3 (GGA-PBE, Alexandria via LeMat-Bulk).

The structure belongs to space group Pm-3m (No. 221); the cell edges are 4.195, 4.195 and 4.195 Å and the angles 90.00°, 90.00° and 90.00°. The inequivalent atoms are Ti at (0.000, 0.000, 0.000), Al at (0.500, 0.500, 0.500) and F at (0.000, 0.000, 0.500).

The density is 2.965 Mg/m³. As for the distance to the lowest polymorph of the same formula: 0 meV per atom.

***

Record 12
# TiAlF2

A relaxed structure of TiAlF2 (GGA-PBE, Alexandria via LeMat-Bulk).

The structure belongs to space group R-3m (No. 166, hexagonal axes); the cell edges are 2.7754, 2.7754 and 21.8771 Å and the angles 90.00°, 90.00° and 120.00°. The inequivalent atoms are Ti at (0.0000, 0.0000, 0.0000), Al at (0.0000, 0.0000, 0.5000) and F at (0.0000, 0.0000, 0.4054).

The density is 3.852 Mg/m³. As for the distance to the lowest polymorph of the same formula: 0 meV per atom.

***

no.,electronic total energy (eV/atom)
1,-4.173
2,-3.414
3,-3.493
4,-3.457
5,-3.205
6,-3.624
7,-5.190
8,-5.079
9,-5.900
10,-4.905
11,-5.542
12,-5.704